(1)
This record from the Alexandria database describes a relaxed AcMgInAg3 crystal. The functional is PBE.

Lattice parameters (Å, degrees): 6.8174 6.4862 7.4991 115.62 90.00 90.00
With the nearest neighbours (Å) after each atom.
Fractional coordinates of all 12 atoms:
Ac  0.7500  0.3097  0.6194  1 Mg 3.30, 6 Ag 3.31-3.39, 2 In 3.46
Ac  0.2500  0.6903  0.3806  1 Mg 3.30, 6 Ag 3.31-3.39, 2 In 3.46
Mg  0.2500  0.9340  0.8681  5 Ag 2.66-2.80
Mg  0.7500  0.0660  0.1319  5 Ag 2.66-2.80
In  0.2500  0.3552  0.7103  5 Ag 2.89-2.95
In  0.7500  0.6448  0.2897  5 Ag 2.89-2.95
Ag  0.2500  0.1414  0.2827  1 Mg 2.80, 1 In 2.89
Ag  0.0000  0.2841  0.0000  2 Mg 2.66, 1 Ag 2.80, 2 In 2.95
Ag  0.5000  0.7159  0.0000  2 Mg 2.66, 1 Ag 2.80, 2 In 2.95
Ag  0.5000  0.2841  0.0000  2 Mg 2.66, 1 Ag 2.80, 2 In 2.95
Ag  0.0000  0.7159  0.0000  2 Mg 2.66, 1 Ag 2.80, 2 In 2.95
Ag  0.7500  0.8586  0.7173  1 Mg 2.80, 1 In 2.89

Spin magnetization: 0.00 μB per cell
DOS at the Fermi energy: 6.2 states/eV/cell
VASP energy: -2.936 eV/atom
Mass density: 7.66 Mg/m³
ΔE_f: -0.104 eV/atom



(2)
This record from the Alexandria database describes a relaxed PuHg5 crystal. The functional is PBE.

Lattice parameters (Å, degrees): 3.1837 6.5848 8.8247 118.92 90.00 103.99
With the nearest neighbours (Å) after each atom.
Fractional coordinates of all 6 atoms:
Pu  0.2790  0.5581  0.0459  2 Pu 3.18, 10 Hg 3.28-3.48
Hg  0.9954  0.9908  0.0110  9 Hg 3.18-3.36, 3 Pu 3.33-3.48
Hg  0.2749  0.5497  0.6684  10 Hg 3.16-3.53, 1 Pu 3.30
Hg  0.7340  0.4680  0.3340  7 Hg 3.16-3.36, 2 Pu 3.29
Hg  0.5514  0.1028  0.7270  9 Hg 3.18-3.53, 2 Pu 3.28
Hg  0.9986  0.9973  0.3803  7 Hg 3.16-3.24, 2 Pu 3.30

Spin magnetization: 6.28 μB per cell
DOS at the Fermi energy: 9.9 states/eV/cell
VASP energy: -2.684 eV/atom
Mass density: 13.30 Mg/m³
ΔE_f: -0.044 eV/atom



(3)
This record from the Alexandria database describes a relaxed K2CeCuBr6 crystal. The functional is PBE.

Lattice parameters (Å, degrees): 7.9913 8.7186 10.0561 90.00 89.05 90.00
With the nearest neighbours (Å) after each atom.
Fractional coordinates of all 20 atoms:
K  0.0201  0.9116  0.2530  8 Br 3.31-3.68
K  0.5201  0.5884  0.7530  8 Br 3.31-3.68
K  0.9799  0.0884  0.7470  8 Br 3.31-3.68
K  0.4799  0.4116  0.2470  8 Br 3.31-3.68
Ce  0.5000  0.0000  0.0000  6 Br 2.89-2.99
Ce  0.0000  0.5000  0.5000  6 Br 2.89-2.99
Cu  0.5000  0.0000  0.5000  2 Br 2.32
Cu  0.0000  0.5000  0.0000  2 Br 2.32
Br  0.3301  0.7116  0.0497  1 Ce 2.90
Br  0.8301  0.7884  0.5497  1 Ce 2.90
Br  0.6699  0.2884  0.9503  1 Ce 2.90
Br  0.1699  0.2116  0.4503  1 Ce 2.90
Br  0.3039  0.6693  0.4460  1 Ce 2.89
Br  0.8039  0.8307  0.9460  1 Ce 2.89
Br  0.6961  0.3307  0.5540  1 Ce 2.89
Br  0.1961  0.1693  0.0540  1 Ce 2.89
Br  0.8988  0.5322  0.2160  1 Cu 2.32
Br  0.3988  0.9678  0.7160  1 Cu 2.32
Br  0.1012  0.4678  0.7840  1 Cu 2.32
Br  0.6012  0.0322  0.2840  1 Cu 2.32

Spin magnetization: 2.00 μB per cell
Excess energy over the best structure of this formula in the dataset: 0 meV/atom
DOS at the Fermi energy: 6.3 states/eV/cell
VASP energy: -3.681 eV/atom
Mass density: 3.61 Mg/m³
Formation energy (no corrections): -1454 meV per atom



(4)
This record from the Alexandria database describes a relaxed PrZrRuRh crystal. The functional is PBE.

Lattice parameters (Å, degrees): 4.8338 4.8338 4.8338 60.00 60.00 60.00
With the nearest neighbours (Å) after each atom.
Fractional coordinates of all 4 atoms:
Pr  0.0000  0.0000  0.0000  4 Ru 2.96, 4 Rh 2.96
Ru  0.7500  0.7500  0.7500  4 Zr 2.96, 4 Pr 2.96
Rh  0.2500  0.2500  0.2500  4 Zr 2.96, 4 Pr 2.96
Zr  0.5000  0.5000  0.5000  4 Ru 2.96, 4 Rh 2.96

Spin magnetization: 0.00 μB per cell
DOS at the Fermi energy: 3.2 states/eV/cell
VASP energy: -7.895 eV/atom
Mass density: 9.07 Mg/m³
ΔE_f: -0.406 eV/atom



(5)
This record from the Alexandria database describes a relaxed KCa2Mn crystal. The functional is PBE.

Lattice parameters (Å, degrees): 5.9383 5.9383 5.9383 60.00 60.00 60.00
With the nearest neighbours (Å) after each atom.
Fractional coordinates of all 4 atoms:
Ca  0.0000  0.0000  0.0000  4 Mn 3.64, 4 Ca 3.64
Ca  0.7500  0.7500  0.7500  4 K 3.64, 4 Ca 3.64
K  0.5000  0.5000  0.5000  4 Ca 3.64, 4 Mn 3.64
Mn  0.2500  0.2500  0.2500  4 K 3.64, 4 Ca 3.64

Spin magnetization: 4.01 μB per cell
Excess energy over the best structure of this formula in the dataset: 287 meV/atom
DOS at the Fermi energy: 4.3 states/eV/cell
VASP energy: -2.946 eV/atom
Mass density: 1.95 Mg/m³
ΔE_f: 0.622 eV/atom



(6)
This record from the Alexandria database describes a relaxed CaSm5Tl3 crystal. The functional is PBE.

Lattice parameters (Å, degrees): 6.8736 9.5496 9.5494 120.00 90.00 90.00
With the nearest neighbours (Å) after each atom.
Fractional coordinates of all 18 atoms:
Ca  0.0000  0.0000  0.0000  2 Ca 3.44, 6 Tl 3.59, 6 Sm 3.64
Ca  0.5000  0.0000  0.0000  2 Ca 3.44, 6 Tl 3.59, 6 Sm 3.64
Sm  0.0000  0.6667  0.3334  8 Sm 3.44-3.60, 6 Tl 3.63
Sm  0.5000  0.3333  0.6666  8 Sm 3.44-3.60, 6 Tl 3.63
Sm  0.0000  0.3333  0.6666  8 Sm 3.44-3.60, 6 Tl 3.63
Sm  0.5000  0.6667  0.3334  8 Sm 3.44-3.60, 6 Tl 3.63
Sm  0.7500  0.6637  0.6637  5 Tl 3.18-3.44
Sm  0.7500  0.0000  0.3363  5 Tl 3.18-3.44
Sm  0.7500  0.3364  0.0000  5 Tl 3.18-3.44
Sm  0.2500  0.3363  0.3363  5 Tl 3.18-3.44
Sm  0.2500  0.0000  0.6637  5 Tl 3.18-3.44
Sm  0.2500  0.6636  0.0000  5 Tl 3.18-3.44
Tl  0.7500  0.3306  0.3306  5 Sm 3.18-3.44
Tl  0.7500  0.0000  0.6694  5 Sm 3.18-3.44
Tl  0.7500  0.6694  0.0000  5 Sm 3.18-3.44
Tl  0.2500  0.6694  0.6694  5 Sm 3.18-3.44
Tl  0.2500  0.0000  0.3306  5 Sm 3.18-3.44
Tl  0.2500  0.3306  0.0000  5 Sm 3.18-3.44

Spin magnetization: 0.00 μB per cell
DOS at the Fermi energy: 17.6 states/eV/cell
VASP energy: -3.931 eV/atom
Mass density: 8.60 Mg/m³
ΔE_f: -0.298 eV/atom



(7)
This record from the Alexandria database describes a relaxed IrPtCl2 crystal. The functional is PBE.

Lattice parameters (Å, degrees): 2.9400 2.9400 7.8092 90.00 90.00 90.00
With the nearest neighbours (Å) after each atom.
Fractional coordinates of all 4 atoms:
Ir  0.5000  0.5000  0.2500  8 Cl 2.74, 4 Ir 2.94
Pt  0.5000  0.5000  0.7500  4 Pt 2.94, 8 Cl 2.97
Cl  0.0000  0.0000  0.0216  4 Ir 2.74, 4 Cl 2.94, 4 Pt 2.97
Cl  0.0000  0.0000  0.4784  4 Ir 2.74, 4 Cl 2.94, 4 Pt 2.97

Spin magnetization: 1.81 μB per cell
Excess energy over the best structure of this formula in the dataset: 1104 meV/atom
DOS at the Fermi energy: 5.5 states/eV/cell
VASP energy: -3.532 eV/atom
Mass density: 11.27 Mg/m³
Formation energy (no corrections): 1117 meV per atom



(8)
This record from the Alexandria database describes a relaxed Mg4HgPdRh2 crystal. The functional is PBE.

Lattice parameters (Å, degrees): 4.5322 4.5322 7.8530 73.23 73.23 60.00
With the nearest neighbours (Å) after each atom.
Fractional coordinates of all 8 atoms:
Mg  0.3800  0.3800  0.8600  1 Pd 2.67, 4 Rh 2.73-2.84, 3 Hg 2.81
Mg  0.8703  0.8703  0.3890  4 Rh 2.72-2.83, 3 Pd 2.74, 1 Hg 2.88
Mg  0.1297  0.1297  0.6110  4 Rh 2.72-2.83, 3 Pd 2.74, 1 Hg 2.88
Mg  0.6200  0.6200  0.1400  1 Pd 2.67, 4 Rh 2.73-2.84, 3 Hg 2.81
Hg  0.0000  0.0000  0.0000  8 Mg 2.81-2.88
Pd  0.5000  0.5000  0.5000  8 Mg 2.67-2.74
Rh  0.7479  0.7479  0.7563  8 Mg 2.72-2.84
Rh  0.2521  0.2521  0.2437  8 Mg 2.72-2.84

Spin magnetization: 0.00 μB per cell
DOS at the Fermi energy: 4.7 states/eV/cell
VASP energy: -3.801 eV/atom
Mass density: 7.69 Mg/m³
ΔE_f: -0.479 eV/atom